The following is a PBE calculation of ThZr4Sc7 after structural relaxation, from Alexandria.

POSCAR file:
```
ThZr4Sc7
1.0
-3.992 -2.532 2.855
3.377 -5.740 4.972
-0.117 2.423 7.325
Th Zr Sc
1 4 7
Direct
0.000 0.000 0.000 Th
0.535 0.295 0.636 Zr
0.465 0.705 0.364 Zr
0.685 0.645 0.985 Zr
0.315 0.355 0.015 Zr
0.793 0.882 0.532 Sc
0.207 0.118 0.468 Sc
0.078 0.570 0.274 Sc
0.922 0.430 0.726 Sc
0.277 0.694 0.752 Sc
0.500 0.000 0.000 Sc
0.723 0.306 0.248 Sc
```

Summary:
Space group: C2/m (12)
Energy of formation from the pure elements (eV per atom): 0.30


The following is a PBE calculation of TiAgRh after structural relaxation, from Alexandria.

POSCAR file:
```
TiAgRh
1.0
-2.489 -0.867 3.480
0.233 -3.908 1.932
3.801 0.555 5.596
Rh Ag Ti
2 2 2
Direct
0.287 0.287 0.139 Rh
0.713 0.713 0.861 Rh
0.133 0.133 0.601 Ag
0.867 0.867 0.399 Ag
0.413 0.413 0.761 Ti
0.587 0.587 0.239 Ti
```

Summary:
Space group: R-3m (166)
Energy of formation from the pure elements (eV per atom): -0.10


The following is a PBE calculation of LaTb4Y2Sc after structural relaxation, from Alexandria.

POSCAR file:
```
LaTb4Y2Sc
1.0
-1.761 4.068 -2.326
-10.027 -5.020 -1.190
-3.288 0.699 3.711
La Tb Y Sc
1 4 2 1
Direct
0.500 0.500 0.000 La
0.000 0.748 0.751 Tb
0.000 0.252 0.249 Tb
0.500 0.749 0.251 Tb
0.500 0.251 0.749 Tb
0.000 0.000 0.000 Y
0.500 0.000 0.500 Y
0.000 0.500 0.500 Sc
```

Summary:
Space group: P4/mmm (123)
Energy of formation from the pure elements (eV per atom): 0.04


The following is a PBE calculation of LiCa after structural relaxation, from Alexandria.

POSCAR file:
```
LiCa
1.0
-0.265 9.183 0.343
-6.591 -4.945 4.077
2.862 -0.086 4.522
Li Ca
6 6
Direct
0.436 0.873 0.250 Li
0.564 0.436 0.750 Li
0.127 0.564 0.250 Li
0.564 0.127 0.750 Li
0.436 0.564 0.250 Li
0.873 0.436 0.750 Li
0.825 0.650 0.250 Ca
0.175 0.825 0.750 Ca
0.350 0.175 0.250 Ca
0.175 0.350 0.750 Ca
0.825 0.175 0.250 Ca
0.650 0.825 0.750 Ca
```

Summary:
Space group: P6_3/mmc (194)
Energy of formation from the pure elements (eV per atom): 0.09


The following is a PBE calculation of La2SmYSc after structural relaxation, from Alexandria.

POSCAR file:
```
La2SmYSc
1.0
6.531 0.000 0.000
0.000 6.522 0.000
0.000 -3.261 7.959
La Sm Y Sc
4 2 2 2
Direct
0.500 0.247 0.000 La
0.000 0.753 0.000 La
0.500 0.753 0.000 La
0.000 0.247 0.000 La
0.250 0.662 0.324 Sm
0.750 0.338 0.676 Sm
0.750 0.752 0.504 Y
0.250 0.248 0.496 Y
0.250 0.846 0.691 Sc
0.750 0.154 0.309 Sc
```

Summary:
Space group: Cmcm (63)
Energy of formation from the pure elements (eV per atom): 0.35


The following is a PBE calculation of BaHoGaHg after structural relaxation, from Alexandria.

POSCAR file:
```
BaHoGaHg
1.0
-1.281 1.269 -5.221
-3.853 -2.909 -2.683
-4.885 2.300 -1.164
Ba Hg Ga Ho
1 1 1 1
Direct
0.500 0.500 0.500 Ba
0.750 0.750 0.750 Hg
0.250 0.250 0.250 Ga
0.000 0.000 0.000 Ho
```

Summary:
Space group: F-43m (216)
Energy of formation from the pure elements (eV per atom): -0.31


The following is a PBE calculation of MnBiC2Se after structural relaxation, from Alexandria.

POSCAR file:
```
MnBiC2Se
1.0
-0.731 -0.461 4.298
4.131 -3.760 0.299
2.864 3.213 0.832
C Mn Bi Se
2 1 1 1
Direct
0.000 0.000 0.500 C
0.500 0.000 0.000 C
0.500 0.500 0.500 Mn
0.000 0.000 0.000 Bi
0.000 0.500 0.000 Se
```

Summary:
Space group: P4/mmm (123)
Energy relative to the elements, uncorrected (meV/atom): 2999


The following is a PBE calculation of AcRu2C after structural relaxation, from Alexandria.

POSCAR file:
```
AcRu2C
1.0
3.868 0.000 0.000
1.934 3.350 0.000
1.934 1.117 5.613
Ru Ac C
2 1 1
Direct
0.800 0.800 0.599 Ru
0.200 0.200 0.401 Ru
0.000 0.000 0.000 Ac
0.500 0.500 0.500 C
```

Summary:
Space group: R-3m (166)
Energy of formation from the pure elements (eV per atom): 0.56


The following is a PBE calculation of Pr2DyPd after structural relaxation, from Alexandria.

POSCAR file:
```
Pr2DyPd
1.0
-0.002 -3.619 -0.911
3.403 -0.376 1.484
-3.457 -1.875 7.456
Pr Pd Dy
2 1 1
Direct
0.000 0.000 0.794 Pr
0.000 0.000 0.206 Pr
0.500 0.500 0.000 Pd
0.500 0.500 0.500 Dy
```

Summary:
Space group: P4/mmm (123)
Energy of formation from the pure elements (eV per atom): -0.30


The following is a PBE calculation of Ho15ErIn4 after structural relaxation, from Alexandria.

POSCAR file:
```
Ho15ErIn4
1.0
4.834 0.000 0.000
0.000 4.834 0.000
0.000 0.000 24.519
Ho Er In
15 1 4
Direct
0.500 0.500 0.000 Ho
0.500 0.500 0.204 Ho
0.500 0.500 0.402 Ho
0.500 0.500 0.598 Ho
0.500 0.500 0.796 Ho
0.500 0.000 0.104 Ho
0.500 0.000 0.303 Ho
0.500 0.000 0.500 Ho
0.500 0.000 0.697 Ho
0.500 0.000 0.896 Ho
0.000 0.500 0.104 Ho
0.000 0.500 0.303 Ho
0.000 0.500 0.500 Ho
0.000 0.500 0.697 Ho
0.000 0.500 0.896 Ho
0.000 0.000 0.000 Er
0.000 0.000 0.206 In
0.000 0.000 0.402 In
0.000 0.000 0.598 In
0.000 0.000 0.794 In
```

Summary:
Space group: P4/mmm (123)
Energy of formation from the pure elements (eV per atom): -0.20


The following is a PBE calculation of HoZrTlHg after structural relaxation, from Alexandria.

POSCAR file:
```
HoZrTlHg
1.0
-1.982 4.729 -0.474
-4.907 0.603 -1.439
-3.490 1.681 3.392
Tl Hg Zr Ho
1 1 1 1
Direct
0.000 0.000 0.000 Tl
0.500 0.500 0.500 Hg
0.750 0.750 0.750 Zr
0.250 0.250 0.250 Ho
```

Summary:
Space group: F-43m (216)
Energy of formation from the pure elements (eV per atom): -0.20


The following is a PBE calculation of ZrScSe2 after structural relaxation, from Alexandria.

POSCAR file:
```
ZrScSe2
1.0
2.123 0.000 8.680
-1.062 1.839 8.680
-1.062 -1.839 8.680
Sc Se Zr
1 2 1
Direct
0.000 0.000 0.000 Sc
0.899 0.899 0.899 Se
0.101 0.101 0.101 Se
0.500 0.500 0.500 Zr
```

Summary:
Space group: R-3m (166)
Energy relative to the elements, uncorrected (meV/atom): -975


The following is a PBE calculation of TbGePRh2 after structural relaxation, from Alexandria.

POSCAR file:
```
TbGePRh2
1.0
-3.054 2.053 -1.654
-1.178 -6.275 -0.693
-3.540 -0.051 6.475
Tb Ge P Rh
2 2 2 4
Direct
0.452 0.904 0.750 Tb
0.548 0.096 0.250 Tb
0.729 0.458 0.750 Ge
0.271 0.542 0.250 Ge
0.000 0.000 0.000 P
0.000 0.000 0.500 P
0.177 0.354 0.942 Rh
0.823 0.646 0.058 Rh
0.177 0.354 0.558 Rh
0.823 0.646 0.442 Rh
```

Summary:
Space group: Cmcm (63)
Energy of formation from the pure elements (eV per atom): -0.84


The following is a PBE calculation of Rb2PuP2N6 after structural relaxation, from Alexandria.

POSCAR file:
```
Rb2PuP2N6
1.0
5.822 0.000 0.000
2.911 5.042 0.000
2.911 1.681 6.484
Rb Pu P N
2 1 2 6
Direct
0.793 0.793 0.621 Rb
0.207 0.207 0.379 Rb
0.000 0.000 0.000 Pu
0.397 0.397 0.809 P
0.603 0.603 0.191 P
0.757 0.757 0.201 N
0.286 0.757 0.201 N
0.757 0.286 0.201 N
0.243 0.714 0.799 N
0.714 0.243 0.799 N
0.243 0.243 0.799 N
```

Summary:
Space group: R-3m (166)
Energy relative to the elements, uncorrected (meV/atom): -394


The following is a PBE calculation of Sm3Ru2Pb after structural relaxation, from Alexandria.

POSCAR file:
```
Sm3Ru2Pb
1.0
-0.828 3.070 1.360
-0.236 -1.451 3.131
11.700 2.294 1.944
Sm Ru Pb
3 2 1
Direct
0.000 0.000 0.000 Sm
0.000 0.000 0.712 Sm
0.000 0.000 0.288 Sm
0.500 0.500 0.852 Ru
0.500 0.500 0.148 Ru
0.500 0.500 0.500 Pb
```

Summary:
Space group: P4/mmm (123)
Energy of formation from the pure elements (eV per atom): -0.31


The following is a PBE calculation of PrSm2Y2Ho2 after structural relaxation, from Alexandria.

POSCAR file:
```
PrSm2Y2Ho2
1.0
-1.204 -4.611 1.784
5.607 2.025 1.763
-4.228 3.402 5.939
Pr Sm Y Ho
1 2 2 2
Direct
0.000 0.000 0.000 Pr
0.572 0.144 0.712 Sm
0.428 0.856 0.288 Sm
0.714 0.427 0.146 Y
0.286 0.573 0.854 Y
0.143 0.285 0.431 Ho
0.857 0.715 0.569 Ho
```

Summary:
Space group: C2/m (12)
Energy of formation from the pure elements (eV per atom): 0.02


The following is a PBE calculation of Hf2TaW after structural relaxation, from Alexandria.

POSCAR file:
```
Hf2TaW
1.0
-5.386 -1.378 5.191
-4.514 -2.821 -5.432
-3.864 -4.685 0.320
Hf W Ta
4 2 2
Direct
0.638 0.125 0.250 Hf
0.112 0.625 0.250 Hf
0.375 0.362 0.750 Hf
0.875 0.888 0.750 Hf
0.000 0.000 0.000 W
0.750 0.250 0.500 W
0.500 0.500 0.000 Ta
0.250 0.750 0.500 Ta
```

Summary:
Space group: I-42d (122)
Energy of formation from the pure elements (eV per atom): 0.79


The following is a PBE calculation of RbErSO after structural relaxation, from Alexandria.

POSCAR file:
```
RbErSO
1.0
3.707 0.000 0.000
-1.853 3.210 -0.003
-1.852 -1.074 7.370
Rb Er S O
1 1 1 1
Direct
0.971 0.384 0.369 Rb
0.281 0.538 0.835 Er
0.098 0.947 0.061 S
0.528 0.161 0.705 O
```

Summary:
Space group: Cm (8)
Energy relative to the elements, uncorrected (meV/atom): -2162


The following is a PBE calculation of PmGa3Pd3 after structural relaxation, from Alexandria.

POSCAR file:
```
PmGa3Pd3
1.0
6.928 0.000 0.000
3.464 5.999 0.000
3.464 2.000 6.219
Pm Ga Pd
2 6 6
Direct
0.339 0.339 0.983 Pm
0.661 0.661 0.017 Pm
0.538 0.734 0.627 Ga
0.734 0.102 0.627 Ga
0.102 0.538 0.627 Ga
0.898 0.462 0.373 Ga
0.266 0.898 0.373 Ga
0.462 0.266 0.373 Ga
0.171 0.693 0.214 Pd
0.922 0.171 0.214 Pd
0.693 0.922 0.214 Pd
0.307 0.078 0.786 Pd
0.078 0.829 0.786 Pd
0.829 0.307 0.786 Pd
```

Summary:
Space group: R-3 (148)
Energy of formation from the pure elements (eV per atom): -0.62


The following is a PBE calculation of Hf4IrOs2 after structural relaxation, from Alexandria.

POSCAR file:
```
Hf4IrOs2
1.0
4.363 0.000 1.363
1.968 3.893 1.363
-0.064 -0.039 7.868
Os Ir Hf
2 1 4
Direct
0.749 0.749 0.753 Os
0.251 0.251 0.247 Os
0.000 0.000 0.000 Ir
0.872 0.872 0.385 Hf
0.128 0.128 0.615 Hf
0.621 0.621 0.137 Hf
0.379 0.379 0.863 Hf
```

Summary:
Space group: R-3m (166)
Energy of formation from the pure elements (eV per atom): -0.67


| no. | size of the total moment (μB per cell) |
| --- | --- |
| 1 | 0.00 |
| 2 | 0.00 |
| 3 | 0.00 |
| 4 | 0.00 |
| 5 | 0.00 |
| 6 | 0.00 |
| 7 | 0.07 |
| 8 | 0.00 |
| 9 | 0.00 |
| 10 | 0.00 |
| 11 | 0.00 |
| 12 | 0.00 |
| 13 | 0.00 |
| 14 | 2.07 |
| 15 | 0.00 |
| 16 | 0.00 |
| 17 | 0.00 |
| 18 | 0.00 |
| 19 | 0.00 |
| 20 | 0.00 |